# 1
Below is crystalline Tb6Sm3HoTh2 at its relaxed geometry, with properties calculated at the GGA-PBE level.

Results
The total magnetization is 0.000 μB per atom. As for the total energy: -5.092 eV/atom. Its formation energy from the elements is 0.021 eV per atom.

The structure in CIF format:
```
data_Tb6Sm3HoTh2
_chemical_formula_sum 'Tb12 Sm6 Ho2 Th4'
_symmetry_space_group_name_H-M 'C 1 2/m 1'
_symmetry_Int_Tables_number 12
_symmetry_space_group_name_Hall '-C 2y'
_cell_length_a 6.204
_cell_length_b 10.736
_cell_length_c 11.839
_cell_angle_alpha 90.00
_cell_angle_beta 100.08
_cell_angle_gamma 90.00
loop_
_atom_site_label
_atom_site_type_symbol
_atom_site_fract_x
_atom_site_fract_y
_atom_site_fract_z
Tb1 Tb 0.245 0.000 0.246
Tb2 Tb 0.250 0.168 0.754
Sm1 Sm 0.000 0.000 0.500
Sm2 Sm 0.000 0.333 0.500
Ho1 Ho 0.000 0.500 0.000
Th1 Th 0.000 0.167 0.000
```

# 2
Below is crystalline NaSm2Te3 at its relaxed geometry, with properties calculated at the GGA-PBE level.

Results
The total magnetization is 0.000 μB per atom. As for the total energy: -4.707 eV/atom. Its formation energy (no corrections) is -1.343 eV per atom.

The structure in CIF format:
```
data_NaSm2Te3
_chemical_formula_sum 'Na2 Sm4 Te6'
_symmetry_space_group_name_H-M 'I m m m'
_symmetry_Int_Tables_number 71
_symmetry_space_group_name_Hall '-I 2 2'
_cell_length_a 4.443
_cell_length_b 6.326
_cell_length_c 13.546
_cell_angle_alpha 90.00
_cell_angle_beta 90.00
_cell_angle_gamma 90.00
loop_
_atom_site_label
_atom_site_type_symbol
_atom_site_fract_x
_atom_site_fract_y
_atom_site_fract_z
Na1 Na 0.000 0.000 0.000
Sm1 Sm 0.000 0.000 0.335
Te1 Te 0.000 0.500 0.000
Te2 Te 0.000 0.500 0.331
```

# 3
Below is crystalline ZrTcNi2 at its relaxed geometry, with properties calculated at the GGA-PBE level.

Results
Its offset from the most stable computed form is 0.91 eV/f.u. The total magnetization is 0.410 μB per atom. As for the total energy: -7.655 eV/atom. Its formation energy from the elements is -0.036 eV per atom.

The structure in CIF format:
```
data_ZrTcNi2
_chemical_formula_sum 'Zr4 Tc4 Ni8'
_symmetry_space_group_name_H-M 'F m -3 m'
_symmetry_Int_Tables_number 225
_symmetry_space_group_name_Hall '-F 4 2 3'
_cell_length_a 6.164
_cell_length_b 6.164
_cell_length_c 6.164
_cell_angle_alpha 90.00
_cell_angle_beta 90.00
_cell_angle_gamma 90.00
loop_
_atom_site_label
_atom_site_type_symbol
_atom_site_fract_x
_atom_site_fract_y
_atom_site_fract_z
Zr1 Zr 0.000 0.000 0.000
Tc1 Tc 0.000 0.000 0.500
Ni1 Ni 0.250 0.250 0.250
```

# 4
Below is crystalline InCu2Ag2 at its relaxed geometry, with properties calculated at the GGA-PBE level.

Results
Its offset from the most stable computed form is 0.00 eV/f.u. The total magnetization is 0.000 μB per atom. As for the total energy: -3.235 eV/atom. Its formation energy from the elements is 0.092 eV per atom.

The structure in CIF format:
```
data_InCu2Ag2
_chemical_formula_sum 'In2 Cu4 Ag4'
_symmetry_space_group_name_H-M 'P 4/m b m'
_symmetry_Int_Tables_number 127
_symmetry_space_group_name_Hall '-P 4 2ab'
_cell_length_a 6.955
_cell_length_b 6.955
_cell_length_c 3.498
_cell_angle_alpha 90.00
_cell_angle_beta 90.00
_cell_angle_gamma 90.00
loop_
_atom_site_label
_atom_site_type_symbol
_atom_site_fract_x
_atom_site_fract_y
_atom_site_fract_z
In1 In 0.000 0.000 0.000
Cu1 Cu 0.128 0.372 0.000
Ag1 Ag 0.165 0.665 0.500
```

# 5
Below is crystalline Na4Hg3Pd2 at its relaxed geometry, with properties calculated at the GGA-PBE level.

Results
The total magnetization is 0.000 μB per atom. As for the total energy: -2.052 eV/atom. Its formation energy from the elements is -0.211 eV per atom.

The structure in CIF format:
```
data_Na4Hg3Pd2
_chemical_formula_sum 'Na8 Hg6 Pd4'
_symmetry_space_group_name_H-M 'C 1 2/m 1'
_symmetry_Int_Tables_number 12
_symmetry_space_group_name_Hall '-C 2y'
_cell_length_a 15.257
_cell_length_b 4.559
_cell_length_c 6.343
_cell_angle_alpha 90.00
_cell_angle_beta 98.91
_cell_angle_gamma 90.00
loop_
_atom_site_label
_atom_site_type_symbol
_atom_site_fract_x
_atom_site_fract_y
_atom_site_fract_z
Na1 Na 0.083 0.000 0.371
Na2 Na 0.215 0.500 0.189
Hg1 Hg 0.000 0.500 0.000
Hg2 Hg 0.141 0.500 0.686
Pd1 Pd 0.092 0.000 0.904
```

# 6
Below is crystalline KHgPt at its relaxed geometry, with properties calculated at the GGA-PBE level.

Results
Its offset from the most stable computed form is 1.28 eV/f.u. The total magnetization is 0.000 μB per atom. As for the total energy: -2.248 eV/atom. Its formation energy from the elements is 0.232 eV per atom.

The structure in CIF format:
```
data_KHgPt
_chemical_formula_sum 'K1 Hg1 Pt1'
_symmetry_space_group_name_H-M 'P 3 m 1'
_symmetry_Int_Tables_number 156
_symmetry_space_group_name_Hall 'P 3 -2"'
_cell_length_a 3.1910
_cell_length_b 3.1910
_cell_length_c 7.8159
_cell_angle_alpha 90.00
_cell_angle_beta 90.00
_cell_angle_gamma 120.00
loop_
_atom_site_label
_atom_site_type_symbol
_atom_site_fract_x
_atom_site_fract_y
_atom_site_fract_z
K1 K 0.0000 0.0000 0.0000
Hg1 Hg 0.3333 0.6667 0.6249
Pt1 Pt 0.6667 0.3333 0.3303
```

# 7
Below is crystalline CrCo2 at its relaxed geometry, with properties calculated at the GGA-PBE level.

Results
The total magnetization is 0.644 μB per atom. As for the total energy: -7.831 eV/atom. Its formation energy from the elements is 0.114 eV per atom.

The structure in CIF format:
```
data_CrCo2
_chemical_formula_sum 'Cr4 Co8'
_symmetry_space_group_name_H-M 'C m c m'
_symmetry_Int_Tables_number 63
_symmetry_space_group_name_Hall '-C 2c 2'
_cell_length_a 2.447
_cell_length_b 13.256
_cell_length_c 4.049
_cell_angle_alpha 90.00
_cell_angle_beta 90.00
_cell_angle_gamma 90.00
loop_
_atom_site_label
_atom_site_type_symbol
_atom_site_fract_x
_atom_site_fract_y
_atom_site_fract_z
Cr1 Cr 0.000 0.215 0.250
Co1 Co 0.000 0.113 0.750
Co2 Co 0.000 0.448 0.750
```

# 8
Below is crystalline PmSnAuO at its relaxed geometry, with properties calculated at the GGA-PBE level.

Results
The total magnetization is 0.000 μB per atom. As for the total energy: -5.839 eV/atom. Its formation energy (no corrections) is -1.591 eV per atom.

The structure in CIF format:
```
data_PmSnAuO
_chemical_formula_sum 'Pm6 Sn6 Au6 O6'
_symmetry_space_group_name_H-M 'R -3 m'
_symmetry_Int_Tables_number 166
_symmetry_space_group_name_Hall '-R 3 2"'
_cell_length_a 3.9545
_cell_length_b 3.9545
_cell_length_c 39.3981
_cell_angle_alpha 90.00
_cell_angle_beta 90.00
_cell_angle_gamma 120.00
loop_
_atom_site_label
_atom_site_type_symbol
_atom_site_fract_x
_atom_site_fract_y
_atom_site_fract_z
Pm1 Pm 0.0000 0.0000 0.1291
Sn1 Sn 0.0000 0.0000 0.3057
Au1 Au 0.0000 0.0000 0.4053
O1 O 0.0000 0.0000 0.1893
```